Material: CsPrSO
Method: DFT, PBE-GGA
State: optimized geometry

It has space group Pmc2_1 (No. 26), with a = 4.640 Å, b = 8.716 Å, c = 6.980 Å, α = 90.00°, β = 90.00° and γ = 90.00°. The distinct sites, in fractional coordinates, are Cs at (0.000, 0.189, 0.000), Pr at (0.500, 0.374, 0.441), S at (0.000, 0.209, 0.510) and O at (0.500, 0.418, 0.126).

As for the magnetic moment: 0.0 Bohr magnetons per cell. As for the crystal system: orthorhombic. The value obtained for the energy relative to the lowest polymorph listed for this composition is 72.3 meV per atom.

***

Material: CsPrSO
Method: DFT, PBE-GGA
State: optimized geometry

It has space group P2_1 (No. 4), with a = 5.943 Å, b = 5.938 Å, c = 12.887 Å, α = 90.00°, β = 102.55° and γ = 90.00°. The distinct sites, in fractional coordinates, are Cs at (0.051, 0.000, 0.116), Cs at (0.448, 0.998, 0.884), Pr at (0.045, 0.261, 0.591), Pr at (0.456, 0.261, 0.409), S at (0.108, 0.499, 0.238), S at (0.392, 0.498, 0.762), O at (0.250, 0.012, 0.500) and O at (0.250, 0.514, 0.500).

As for the magnetic moment: 0.0 Bohr magnetons per cell. As for the crystal system: monoclinic. The value obtained for the energy relative to the lowest polymorph listed for this composition is 0.0 meV per atom.

***

Material: CsPrS2O8
Method: DFT, PBE-GGA
State: optimized geometry

It has space group Pnna (No. 52), with a = 9.468 Å, b = 13.801 Å, c = 5.432 Å, α = 90.00°, β = 90.00° and γ = 90.00°. The distinct sites, in fractional coordinates, are Cs at (0.077, 0.250, 0.250), Pr at (0.250, 0.000, 0.678), S at (0.085, 0.589, 0.263), O at (0.065, 0.120, 0.776), O at (0.094, 0.016, 0.299), O at (0.154, 0.609, 0.503) and O at (0.159, 0.643, 0.062).

As for the magnetic moment: 0.0 Bohr magnetons per cell. As for the crystal system: orthorhombic. As for the calculated total energy: -6.535 eV/atom.

***

Material: CsPrSO
Method: DFT, PBE-GGA
State: optimized geometry

It has space group P2_1/c (No. 14), with a = 8.234 Å, b = 7.735 Å, c = 6.951 Å, α = 90.00°, β = 103.98° and γ = 90.00°. The distinct sites, in fractional coordinates, are Cs at (0.078, 0.239, 0.001), Pr at (0.475, 0.629, 0.273), S at (0.266, 0.591, 0.856) and O at (0.400, 0.146, 0.881).

As for the magnetic moment: 0.0 Bohr magnetons per cell. As for the crystal system: monoclinic. The value obtained for the energy relative to the lowest polymorph listed for this composition is 7.2 meV per atom.